--- P ---
An optimized crystal structure of BIrSN2, computed with PBE.

```
data_BIrSN2
_cell_length_a 3.711
_cell_length_b 3.711
_cell_length_c 5.299
_cell_angle_alpha 90.00
_cell_angle_beta 90.00
_cell_angle_gamma 90.00
_space_group_name_H-M_alt 'P 4/m m m'
_space_group_IT_number 123
_space_group_name_Hall '-P 4 2'
loop_
_atom_site_label
_atom_site_fract_x
_atom_site_fract_y
_atom_site_fract_z
B1 0.000 0.000 0.000
Ir1 0.500 0.500 0.500
S1 0.500 0.500 0.000
N1 0.000 0.500 0.500
```

Output
Volume = 73 Å³/cell
Total moment = 0.000 μB/cell

--- Q ---
An optimized crystal structure of BIrSN2, computed with PBE.

```
data_BIrSN2
_cell_length_a 3.460
_cell_length_b 3.460
_cell_length_c 4.106
_cell_angle_alpha 90.00
_cell_angle_beta 90.00
_cell_angle_gamma 90.00
_space_group_name_H-M_alt 'P 4/m m m'
_space_group_IT_number 123
_space_group_name_Hall '-P 4 2'
loop_
_atom_site_label
_atom_site_fract_x
_atom_site_fract_y
_atom_site_fract_z
B1 0.000 0.000 0.000
Ir1 0.500 0.500 0.500
S1 0.000 0.000 0.500
N1 0.000 0.500 0.000
```

Output
Volume = 49 Å³/cell
Total moment = 0.000 μB/cell

P has the most favorable energy; the next structure is 5 meV/atom above.

--- P ---
An optimized crystal structure of BIrS2N, computed with PBE.

```
data_BIrS2N
_cell_length_a 4.715
_cell_length_b 4.715
_cell_length_c 2.749
_cell_angle_alpha 90.00
_cell_angle_beta 90.00
_cell_angle_gamma 90.00
_space_group_name_H-M_alt 'P 4/m m m'
_space_group_IT_number 123
_space_group_name_Hall '-P 4 2'
loop_
_atom_site_label
_atom_site_fract_x
_atom_site_fract_y
_atom_site_fract_z
B1 0.000 0.000 0.000
Ir1 0.500 0.500 0.500
S1 0.000 0.500 0.000
N1 0.000 0.000 0.500
```

Output
Volume = 61 Å³/cell
Total moment = 0.000 μB/cell

--- Q ---
An optimized crystal structure of BIrS2N, computed with PBE.

```
data_BIrS2N
_cell_length_a 4.850
_cell_length_b 4.850
_cell_length_c 3.636
_cell_angle_alpha 90.00
_cell_angle_beta 90.00
_cell_angle_gamma 90.00
_space_group_name_H-M_alt 'P 4/m m m'
_space_group_IT_number 123
_space_group_name_Hall '-P 4 2'
loop_
_atom_site_label
_atom_site_fract_x
_atom_site_fract_y
_atom_site_fract_z
B1 0.000 0.000 0.000
Ir1 0.500 0.500 0.500
S1 0.000 0.500 0.500
N1 0.500 0.500 0.000
```

Output
Volume = 86 Å³/cell
Total moment = 0.000 μB/cell

P has the most favorable energy; the next structure is 681 meV/atom above.